Entry 1:
The following is a DFT calculation (SCAN) of a PBEsol-optimized structure of SrRe2Br.

Values from the calculation:
For the total energy, the calculation gives -178.4 eV for the cell shown. The space group is No. 65. The calculation puts the relative energy among the computed polymorphs at 1201 meV/atom.

Cell: 2.798 5.294 5.979 Å, 116.28 90.00 90.00°
Element x y z (fractional)
Br1 0.500 0.500 0.000
Re1 0.000 0.500 0.500
Re2 0.000 0.000 0.500
Sr1 0.500 0.000 0.000

Entry 2:
The following is a DFT calculation (SCAN) of a PBEsol-optimized structure of SrY2ReBr.

Values from the calculation:
For the total energy, the calculation gives -159.9 eV for the cell shown. The space group is No. 123.

Cell: 4.746 5.684 5.684 Å, 90.00 90.00 90.00°
Site moments in Bohr magnetons follow the coordinates.
Element x y z (fractional)
Re1 0.500 0.000 0.000  0.47
Br1 0.500 0.500 0.500  0.00
Y1 0.000 0.000 0.500  -0.17
Sr1 0.000 0.000 0.000  -0.07
Y2 0.000 0.500 0.000  -0.17

It is found that the E_form (uncorrected) values, taken in the order of the records, are 5.49; 8.60 eV/f.u..